No. 1
First-principles (PBE) data for ZrFe2PbS after structural relaxation, as listed in the Alexandria database.

The calculation puts the density of states at the Fermi level at 5.39 states/eV/cell. For the formation energy from raw total energies, the calculation gives 2.2 eV per formula unit. For the electronic total energy, the calculation gives -6.22 eV/atom. Its crystal system is tetragonal.

The space group is P4/mmm (No. 123) and the conventional cell measures 4.1189, 4.1189 and 5.4903 Å, with angles of 90.00, 90.00 and 90.00 degrees. Symmetry generates all atoms from Zr at (0.0000, 0.0000, 0.0000), Fe at (0.0000, 0.5000, 0.5000), Pb at (0.5000, 0.5000, 0.0000) and S at (0.5000, 0.5000, 0.5000).


No. 2
First-principles (PBE) data for CaNd4Er2 after structural relaxation, as listed in the Alexandria database.

The calculation puts the density of states at the Fermi level at 27.36 states/eV/cell. The formation energy is 0.187 eV/f.u. For the electronic total energy, the calculation gives -4.29 eV/atom. Its crystal system is trigonal.

The space group is R-3m (No. 166, hexagonal axes) and the conventional cell measures 3.6389, 3.6389 and 63.1142 Å, with angles of 90.00, 90.00 and 120.00 degrees. Symmetry generates all atoms from Ca at (0.0000, 0.0000, 0.0000), Nd at (0.0000, 0.0000, 0.1427), Nd at (0.0000, 0.0000, 0.2820) and Er at (0.0000, 0.0000, 0.4297).


No. 3
First-principles (PBE) data for Cd3Pt2 after structural relaxation, as listed in the Alexandria database.

The calculation puts the density of states at the Fermi level at 9.36 states/eV/cell. The formation energy is -0.652 eV/f.u. For the electronic total energy, the calculation gives -3.10 eV/atom. Its crystal system is trigonal.

The space group is R-3m (No. 166, hexagonal axes) and the conventional cell measures 2.9872, 2.9872 and 35.9290 Å, with angles of 90.00, 90.00 and 120.00 degrees. Symmetry generates all atoms from Cd at (0.0000, 0.0000, 0.0000), Cd at (0.0000, 0.0000, 0.2051) and Pt at (0.0000, 0.0000, 0.3972).


No. 4
First-principles (PBE) data for CeYIrPt after structural relaxation, as listed in the Alexandria database.

The calculation puts the density of states at the Fermi level at 27.12 states/eV/cell. The formation energy is -3.526 eV/f.u. For the electronic total energy, the calculation gives -7.71 eV/atom. Its crystal system is cubic.

The space group is F-43m (No. 216) and the conventional cell measures 7.0183, 7.0183 and 7.0183 Å, with angles of 90.00, 90.00 and 90.00 degrees. Symmetry generates all atoms from Ce at (0.0000, 0.0000, 0.0000), Y at (0.0000, 0.0000, 0.5000), Ir at (0.2500, 0.2500, 0.2500) and Pt at (0.2500, 0.2500, 0.7500).


No. 5
First-principles (PBE) data for ErPuZr after structural relaxation, as listed in the Alexandria database.

The calculation puts the density of states at the Fermi level at 9.84 states/eV/cell. The formation energy is 0.468 eV/f.u. For the electronic total energy, the calculation gives -8.99 eV/atom. Its crystal system is hexagonal.

The space group is P-6m2 (No. 187) and the conventional cell measures 5.2611, 5.2611 and 3.2299 Å, with angles of 90.00, 90.00 and 120.00 degrees. Symmetry generates all atoms from Er at (0.0000, 0.0000, 0.0000), Pu at (0.6667, 0.3333, 0.5000) and Zr at (0.3333, 0.6667, 0.5000).


No. 6
First-principles (PBE) data for SbPb2Cl after structural relaxation, as listed in the Alexandria database.

The calculation puts the density of states at the Fermi level at 4.07 states/eV/cell. For the formation energy from raw total energies, the calculation gives -1.2 eV per formula unit. For the electronic total energy, the calculation gives -3.63 eV/atom. Its crystal system is orthorhombic.

The space group is Imm2 (No. 44) and the conventional cell measures 3.6544, 4.7796 and 14.4453 Å, with angles of 90.00, 90.00 and 90.00 degrees. Symmetry generates all atoms from Sb at (0.0000, 0.0000, 0.0000), Pb at (0.0000, 0.0000, 0.5937), Pb at (0.0000, 0.5000, 0.3171) and Cl at (0.0000, 0.5000, 0.7725).


No. 7
First-principles (PBE) data for HgBi2H8 after structural relaxation, as listed in the Alexandria database.

The calculation puts the density of states at the Fermi level at 0.00 states/eV/cell. For the electronic total energy, the calculation gives -2.89 eV/atom. Its crystal system is triclinic.

The space group is P-1 (No. 2) and the conventional cell measures 4.2839, 7.7756 and 8.1983 Å, with angles of 61.77, 86.93 and 90.00 degrees. Symmetry generates all atoms from Hg at (0.0000, 0.0000, 0.0000), Bi at (0.4912, 0.7258, 0.5485), H at (0.2005, 0.0897, 0.4900), H at (0.2005, 0.4202, 0.4901), H at (0.4276, 0.8496, 0.3005) and H at (0.4407, 0.5182, 0.9636).


Question: Which of these has the highest electronic total energy?
Answer: HgBi2H8


Question: Which formula does entry 6 have?
Answer: SbPb2Cl